1.
LaAsPt | PBE | optimized geometry

The calculation puts the uncorrected energy at -6.00 eV/atom. The value obtained for the energy of formation from the pure elements is -793.0 meV per atom. Its crystal system is tetragonal. The calculation puts the magnetization at 0.00 μB/atom. The calculation puts the mass density at 9.27 g/cm3.

The structure belongs to space group I4mm (No. 107); the cell edges are 4.1204, 4.1204 and 8.6289 Å and the angles 90.00°, 90.00° and 90.00°. The asymmetric unit holds La at (0.0000, 0.0000, 0.0000), As at (0.0000, 0.0000, 0.6588) and Pt at (0.0000, 0.0000, 0.3731).

=====

2.
LaAs2Pt | PBE | optimized geometry

The calculation puts the uncorrected energy at -5.73 eV/atom. The value obtained for the energy of formation from the pure elements is -663.2 meV per atom. Its crystal system is tetragonal. The calculation puts the magnetization at 0.00 μB/atom. The calculation puts the mass density at 9.58 g/cm3.

The structure belongs to space group P4/mmm (No. 123); the cell edges are 4.5126, 4.5126 and 4.1174 Å and the angles 90.00°, 90.00° and 90.00°. The asymmetric unit holds La at (0.0000, 0.0000, 0.0000), As at (0.0000, 0.5000, 0.5000) and Pt at (0.5000, 0.5000, 0.0000).

=====

3.
LaAs3Pt3 | PBE | optimized geometry

The calculation puts the uncorrected energy at -5.83 eV/atom. The value obtained for the energy of formation from the pure elements is -546.8 meV per atom. Its crystal system is cubic. The calculation puts the magnetization at 0.00 μB/atom. The calculation puts the mass density at 9.74 g/cm3.

The structure belongs to space group Pm-3n (No. 223); the cell edges are 6.8647, 6.8647 and 6.8647 Å and the angles 90.00°, 90.00° and 90.00°. The asymmetric unit holds La at (0.0000, 0.0000, 0.0000), As at (0.0000, 0.2500, 0.5000) and Pt at (0.0000, 0.5000, 0.2500).

=====

4.
LaAsPt2 | PBE | optimized geometry

The calculation puts the uncorrected energy at -5.99 eV/atom. The value obtained for the energy of formation from the pure elements is -571.5 meV per atom. Its crystal system is tetragonal. The calculation puts the magnetization at 0.00 μB/atom. The calculation puts the mass density at 12.00 g/cm3.

The structure belongs to space group P4/mmm (No. 123); the cell edges are 3.7528, 3.7528 and 5.9346 Å and the angles 90.00°, 90.00° and 90.00°. The asymmetric unit holds La at (0.0000, 0.0000, 0.0000), As at (0.0000, 0.0000, 0.5000) and Pt at (0.5000, 0.5000, 0.2727).

=====

5.
La2AsPt2 | PBE | optimized geometry

The calculation puts the uncorrected energy at -6.41 eV/atom. The value obtained for the energy of formation from the pure elements is -1091.2 meV per atom. Its crystal system is tetragonal. The calculation puts the magnetization at 0.00 μB/atom. The calculation puts the mass density at 10.07 g/cm3.

The structure belongs to space group I4/mmm (No. 139); the cell edges are 3.9236, 3.9236 and 15.9074 Å and the angles 90.00°, 90.00° and 90.00°. The asymmetric unit holds La at (0.0000, 0.0000, 0.1079), As at (0.0000, 0.0000, 0.5000) and Pt at (0.0000, 0.5000, 0.2500).

=====

6.
LaAs2Pt | PBE | optimized geometry

The calculation puts the uncorrected energy at -5.43 eV/atom. The value obtained for the energy of formation from the pure elements is -358.9 meV per atom. Its crystal system is tetragonal. The calculation puts the magnetization at 0.00 μB/atom. The calculation puts the mass density at 9.59 g/cm3.

The structure belongs to space group P4/mmm (No. 123); the cell edges are 3.4921, 3.4921 and 6.8728 Å and the angles 90.00°, 90.00° and 90.00°. The asymmetric unit holds La at (0.0000, 0.0000, 0.0000), As at (0.5000, 0.5000, 0.3088) and Pt at (0.0000, 0.0000, 0.5000).

=====

7.
LaAsPt2 | PBE | optimized geometry

The calculation puts the uncorrected energy at -6.31 eV/atom. The value obtained for the energy of formation from the pure elements is -896.4 meV per atom. Its crystal system is orthorhombic. The calculation puts the magnetization at 0.00 μB/atom. The calculation puts the mass density at 10.85 g/cm3.

The structure belongs to space group Pmmm (No. 47); the cell edges are 4.0879, 4.1803 and 5.4071 Å and the angles 90.00°, 90.00° and 90.00°. The asymmetric unit holds La at (0.0000, 0.0000, 0.0000), As at (0.5000, 0.0000, 0.5000) and Pt at (0.5000, 0.5000, 0.2448).

=====

8.
LaAs2Pt4 | PBE | optimized geometry

The calculation puts the uncorrected energy at -6.17 eV/atom. The value obtained for the energy of formation from the pure elements is -689.4 meV per atom. Its crystal system is tetragonal. The calculation puts the magnetization at 0.00 μB/atom. The calculation puts the mass density at 13.80 g/cm3.

The structure belongs to space group P4_2/mnm (No. 136); the cell edges are 7.9733, 7.9733 and 4.0485 Å and the angles 90.00°, 90.00° and 90.00°. The asymmetric unit holds La at (0.0000, 0.0000, 0.0000), As at (0.2119, 0.2119, 0.5000) and Pt at (0.0981, 0.6532, 0.5000).

=====

9.
La2As3Pt2 | PBE | optimized geometry

The calculation puts the uncorrected energy at -6.12 eV/atom. The value obtained for the energy of formation from the pure elements is -994.6 meV per atom. Its crystal system is orthorhombic. The calculation puts the magnetization at 0.00 μB/atom. The calculation puts the mass density at 9.58 g/cm3.

The structure belongs to space group Cmcm (No. 63); the cell edges are 4.3891, 19.2191 and 7.3370 Å and the angles 90.00°, 90.00° and 90.00°. The asymmetric unit holds La at (0.0000, 0.0576, 0.2500), La at (0.0000, 0.1503, 0.7500), As at (0.0000, 0.2240, 0.2500), As at (0.0000, 0.4310, 0.0379) and Pt at (0.0000, 0.3012, 0.5468).

=====

10.
LaAs2Pt | PBE | optimized geometry

The calculation puts the uncorrected energy at -5.77 eV/atom. The value obtained for the energy of formation from the pure elements is -705.4 meV per atom. Its crystal system is tetragonal. The calculation puts the magnetization at 0.00 μB/atom. The calculation puts the mass density at 8.24 g/cm3.

The structure belongs to space group I-42d (No. 122); the cell edges are 4.6847, 4.6847 and 17.7721 Å and the angles 90.00°, 90.00° and 90.00°. The asymmetric unit holds La at (0.0000, 0.0000, 0.0000), As at (0.1224, 0.2500, 0.6250) and Pt at (0.0000, 0.0000, 0.5000).

=====

11.
La3As2Pt4 | PBE | optimized geometry

The calculation puts the uncorrected energy at -6.58 eV/atom. The value obtained for the energy of formation from the pure elements is -1219.5 meV per atom. Its crystal system is monoclinic. The calculation puts the magnetization at 0.00 μB/atom. The calculation puts the mass density at 10.85 g/cm3.

The structure belongs to space group C2/m (No. 12); the cell edges are 11.2479, 4.3566 and 8.7871 Å and the angles 90.00°, 106.81° and 90.00°. The asymmetric unit holds La at (0.0000, 0.0000, 0.0000), La at (0.1638, 0.5000, 0.6658), As at (0.1104, 0.5000, 0.2819), Pt at (0.0547, 0.0000, 0.3831) and Pt at (0.2182, 0.5000, 0.0681).

=====

12.
LaAs2Pt | PBE | optimized geometry

The calculation puts the uncorrected energy at -5.92 eV/atom. The value obtained for the energy of formation from the pure elements is -850.7 meV per atom. Its crystal system is trigonal. The calculation puts the magnetization at 0.00 μB/atom. The calculation puts the mass density at 9.28 g/cm3.

The structure belongs to space group R-3m (No. 166, hexagonal axes); the cell edges are 4.2210, 4.2210 and 16.8260 Å and the angles 90.00°, 90.00° and 120.00°. The asymmetric unit holds La at (0.0000, 0.0000, 0.0000), As at (0.0000, 0.0000, 0.2290) and Pt at (0.0000, 0.0000, 0.5000).

=====

> Among the records above, which one has the highest energy of formation from the pure elements?

number 6